Ba2MgW | GGA-PBE | optimized geometry

Results
SG = No. 99
Fermi-level density of states = 4.0 states/eV/f.u.
Formation energy from the elements = 0.86 eV/atom
Total moment = 1.8 μB/cell

Cell: 3.820 3.820 9.548 Å, 90.00 90.00 90.00°
Last column: magnetic moment on the atom in μB.
Sites, in units of the cell vectors:
Ba 0.000 0.000 0.919  0.01
Ba 0.500 0.500 0.327  0.00
Mg 0.000 0.000 0.574  0.00
W 0.500 0.500 0.680  1.41